[1]
Material: CrTe2IrC
Method: DFT, GGA-PBE
State: optimized geometry

```
CrTe2IrC
1.0
5.127 0.000 0.000
0.000 3.562 0.000
0.000 0.000 5.127
Cr C Ir Te
1 1 1 2
Direct
0.000 0.000 0.000 Cr
0.000 0.500 0.000 C
0.500 0.500 0.500 Ir
0.000 0.000 0.500 Te
0.500 0.000 0.000 Te
```

Calculated values
The calculation puts the mass density at 9.07 g/cm3. Its energy relative to the elements, uncorrected is 1.061 eV per atom. The density of states at the Fermi level is 4.9 states/eV/cell. For the total moment, the calculation gives 0.74 Bohr magnetons per cell. The space-group type is P4/mmm (123).


[2]
Material: TbUFe2
Method: DFT, GGA-PBE
State: optimized geometry

```
TbUFe2
1.0
4.095 0.001 0.002
-2.047 3.516 -0.449
0.002 0.748 5.691
Tb U Fe
1 1 2
Direct
0.124 0.248 0.700 Tb
0.459 0.917 0.235 U
0.126 0.251 0.196 Fe
0.792 0.583 0.368 Fe
```

Calculated values
For the polymorph energy (0 for the lowest one), the calculation gives 0.207 eV per atom. The calculation puts the mass density at 10.14 g/cm3. The density of states at the Fermi level is 4.1 states/eV/cell. For the total moment, the calculation gives 0.00 Bohr magnetons per cell. The calculation puts the formation energy at 0.232 eV per formula unit. The space-group type is Cm (8).


[3]
Material: ZnCo2Ir
Method: DFT, GGA-PBE
State: optimized geometry

```
ZnCo2Ir
1.0
4.518 -0.001 0.015
3.731 2.547 0.015
0.846 0.261 4.365
Co Ir Zn
2 1 1
Direct
0.007 0.007 0.998 Co
0.746 0.746 0.752 Co
0.494 0.494 0.512 Ir
0.253 0.253 0.238 Zn
```

Calculated values
The calculation puts the mass density at 12.42 g/cm3. The density of states at the Fermi level is 6.0 states/eV/cell. For the total moment, the calculation gives 3.00 Bohr magnetons per cell. The calculation puts the formation energy at 0.041 eV per formula unit. The space-group type is Cm (8).


[4]
Material: CsBN
Method: DFT, GGA-PBE
State: optimized geometry

```
CsBN
1.0
-1.336 1.777 2.109
-5.471 -0.993 -2.628
2.297 -5.537 3.892
B N Cs
2 2 2
Direct
0.801 0.083 0.603 B
0.199 0.917 0.397 B
0.722 0.835 0.443 N
0.278 0.165 0.557 N
0.901 0.648 0.802 Cs
0.099 0.352 0.198 Cs
```

Calculated values
The calculation puts the mass density at 4.35 g/cm3. Its energy relative to the elements, uncorrected is 0.213 eV per atom. The density of states at the Fermi level is 0.8 states/eV/cell. For the total moment, the calculation gives 0.00 Bohr magnetons per cell. The space-group type is C2/m (12).


[5]
Material: SmDy2Si6
Method: DFT, GGA-PBE
State: optimized geometry

```
SmDy2Si6
1.0
3.985 0.000 0.000
0.000 6.157 -3.555
0.000 0.000 7.109
Sm Dy Si
1 2 6
Direct
0.000 0.000 0.000 Sm
0.000 0.333 0.667 Dy
0.000 0.667 0.333 Dy
0.500 0.335 0.335 Si
0.500 0.665 0.665 Si
0.500 0.000 0.665 Si
0.500 0.665 0.000 Si
0.500 0.335 0.000 Si
0.500 0.000 0.335 Si
```

Calculated values
The calculation puts the mass density at 6.13 g/cm3. Its energy relative to the elements, uncorrected is -0.541 eV per atom. The density of states at the Fermi level is 5.5 states/eV/cell. For the total moment, the calculation gives 0.00 Bohr magnetons per cell. The space-group type is P6/mmm (191).


[6]
Material: Pr3Ag2Au
Method: DFT, GGA-PBE
State: optimized geometry

```
Pr3Ag2Au
1.0
-1.524 -3.391 -0.534
1.301 -0.030 -3.523
9.631 -4.895 3.598
Pr Ag Au
3 2 1
Direct
0.000 0.000 0.000 Pr
0.000 0.000 0.662 Pr
0.000 0.000 0.338 Pr
0.500 0.500 0.834 Ag
0.500 0.500 0.166 Ag
0.500 0.500 0.500 Au
```

Calculated values
The calculation puts the mass density at 8.64 g/cm3. The density of states at the Fermi level is 5.0 states/eV/cell. For the total moment, the calculation gives 0.00 Bohr magnetons per cell. The calculation puts the formation energy at -2.506 eV per formula unit. The space-group type is P4/mmm (123).


[7]
Material: Ti3Al3VPd2
Method: DFT, GGA-PBE
State: optimized geometry

```
Ti3Al3VPd2
1.0
-1.362 1.287 -2.117
1.269 -5.985 -4.454
-6.272 0.311 4.223
Ti Al V Pd
3 3 1 2
Direct
0.500 0.712 0.000 Ti
0.500 0.000 0.712 Ti
0.500 0.288 0.288 Ti
0.000 0.636 0.636 Al
0.000 0.000 0.364 Al
0.000 0.364 0.000 Al
0.000 0.000 0.000 V
0.500 0.667 0.333 Pd
0.500 0.333 0.667 Pd
```

Calculated values
The calculation puts the mass density at 5.78 g/cm3. The density of states at the Fermi level is 7.0 states/eV/cell. For the total moment, the calculation gives 0.00 Bohr magnetons per cell. The calculation puts the formation energy at -3.984 eV per formula unit. The space-group type is P-62m (189).


[8]
Material: Ba2SiSn2
Method: DFT, GGA-PBE
State: optimized geometry

```
Ba2SiSn2
1.0
7.834 0.000 0.000
0.000 7.834 0.000
0.000 0.000 5.466
Si Ba Sn
2 4 4
Direct
0.000 0.000 0.000 Si
0.500 0.500 0.000 Si
0.172 0.672 0.500 Ba
0.672 0.828 0.500 Ba
0.828 0.328 0.500 Ba
0.328 0.172 0.500 Ba
0.363 0.863 0.000 Sn
0.863 0.637 0.000 Sn
0.637 0.137 0.000 Sn
0.137 0.363 0.000 Sn
```

Calculated values
The calculation puts the mass density at 5.35 g/cm3. Its energy relative to the elements, uncorrected is -0.314 eV per atom. The density of states at the Fermi level is 6.7 states/eV/cell. For the total moment, the calculation gives 0.00 Bohr magnetons per cell. The space-group type is P4/mbm (127).


[9]
Material: NaMgMnCl6
Method: DFT, GGA-PBE
State: optimized geometry

```
NaMgMnCl6
1.0
6.356 0.000 0.000
-3.178 5.505 0.000
0.000 0.000 12.494
Na Mg Mn Cl
2 2 2 12
Direct
0.000 0.000 0.000 Na
0.000 0.000 0.500 Na
0.333 0.667 0.250 Mg
0.667 0.333 0.750 Mg
0.667 0.333 0.250 Mn
0.333 0.667 0.750 Mn
0.642 0.629 0.139 Cl
0.987 0.358 0.139 Cl
0.358 0.987 0.639 Cl
0.013 0.642 0.861 Cl
0.371 0.358 0.361 Cl
0.987 0.629 0.361 Cl
0.629 0.987 0.861 Cl
0.642 0.013 0.361 Cl
0.013 0.371 0.639 Cl
0.371 0.013 0.139 Cl
0.629 0.642 0.639 Cl
0.358 0.371 0.861 Cl
```

Calculated values
The calculation puts the mass density at 2.39 g/cm3. Its energy relative to the elements, uncorrected is -1.428 eV per atom. The density of states at the Fermi level is 12.7 states/eV/cell. For the total moment, the calculation gives 8.00 Bohr magnetons per cell. The space-group type is P-31c (163).


[10]
Material: Ho8P3CSe3
Method: DFT, GGA-PBE
State: optimized geometry

```
Ho8P3CSe3
1.0
7.892 0.000 0.000
-3.946 6.835 -0.024
0.000 -4.533 6.617
Ho P C Se
8 3 1 3
Direct
0.257 0.515 0.272 Ho
0.743 0.485 0.728 Ho
0.775 0.550 0.286 Ho
0.225 0.450 0.714 Ho
0.775 0.011 0.286 Ho
0.225 0.989 0.714 Ho
0.236 0.011 0.286 Ho
0.764 0.989 0.714 Ho
0.500 0.000 0.500 P
0.500 0.500 0.500 P
0.000 0.500 0.500 P
0.000 0.000 0.500 C
0.000 0.000 0.000 Se
0.000 0.500 0.000 Se
0.500 0.500 0.000 Se
```

Calculated values
The calculation puts the mass density at 7.75 g/cm3. Its energy relative to the elements, uncorrected is -1.443 eV per atom. The density of states at the Fermi level is 7.9 states/eV/cell. For the total moment, the calculation gives 0.04 Bohr magnetons per cell. The space-group type is R-3m (166).


[11]
Material: SmY2Ho2Mg5
Method: DFT, GGA-PBE
State: optimized geometry

```
SmY2Ho2Mg5
1.0
5.086 0.000 0.000
0.000 10.629 0.000
0.000 0.000 10.629
Sm Y Ho Mg
2 4 4 10
Direct
0.000 0.000 0.000 Sm
0.000 0.500 0.500 Sm
0.000 0.679 0.179 Y
0.000 0.321 0.821 Y
0.000 0.179 0.321 Y
0.000 0.821 0.679 Y
0.000 0.118 0.618 Ho
0.000 0.882 0.382 Ho
0.000 0.618 0.882 Ho
0.000 0.382 0.118 Ho
0.500 0.199 0.070 Mg
0.500 0.801 0.930 Mg
0.500 0.070 0.801 Mg
0.500 0.699 0.430 Mg
0.500 0.930 0.199 Mg
0.500 0.301 0.570 Mg
0.500 0.570 0.699 Mg
0.500 0.430 0.301 Mg
0.500 0.500 0.000 Mg
0.500 0.000 0.500 Mg
```

Calculated values
The calculation puts the mass density at 4.51 g/cm3. The density of states at the Fermi level is 19.0 states/eV/cell. For the total moment, the calculation gives 0.00 Bohr magnetons per cell. The calculation puts the formation energy at 0.752 eV per formula unit. The space-group type is P4/mbm (127).


[12]
Material: KC3
Method: DFT, GGA-PBE
State: optimized geometry

```
KC3
1.0
-4.045 1.029 4.105
-4.043 -2.617 -3.328
1.250 -5.134 2.519
K C
1 3
Direct
0.000 0.000 0.000 K
0.500 0.000 0.000 C
0.000 0.500 0.000 C
0.000 0.000 0.500 C
```

Calculated values
For the polymorph energy (0 for the lowest one), the calculation gives 4.373 eV per atom. The calculation puts the mass density at 0.62 g/cm3. The density of states at the Fermi level is 9.7 states/eV/cell. For the total moment, the calculation gives 7.00 Bohr magnetons per cell. The calculation puts the formation energy at 19.773 eV per formula unit. The space-group type is Pm-3m (221).


[13]
Material: Ac3Pr2Tl4Ag2
Method: DFT, GGA-PBE
State: optimized geometry

```
Ac3Pr2Tl4Ag2
1.0
5.147 0.000 0.000
-2.574 4.458 0.000
0.000 0.000 15.943
Ac Pr Tl Ag
3 2 4 2
Direct
0.000 0.000 0.759 Ac
0.000 0.000 0.000 Ac
0.000 0.000 0.241 Ac
0.667 0.333 0.427 Pr
0.333 0.667 0.573 Pr
0.667 0.333 0.125 Tl
0.333 0.667 0.875 Tl
0.667 0.333 0.644 Tl
0.333 0.667 0.356 Tl
0.667 0.333 0.878 Ag
0.333 0.667 0.122 Ag
```

Calculated values
The calculation puts the mass density at 9.06 g/cm3. The density of states at the Fermi level is 13.6 states/eV/cell. For the total moment, the calculation gives 0.00 Bohr magnetons per cell. The calculation puts the formation energy at -2.189 eV per formula unit. The space-group type is P-3m1 (164).


[14]
Material: LaRh2Pb
Method: DFT, GGA-PBE
State: optimized geometry

```
LaRh2Pb
1.0
-0.703 3.225 2.167
-3.885 -0.548 -0.446
-0.090 -3.148 4.655
La Rh Pb
1 2 1
Direct
0.000 0.000 0.439 La
0.000 0.000 0.955 Rh
0.500 0.500 0.297 Rh
0.500 0.500 0.809 Pb
```

Calculated values
The calculation puts the mass density at 10.46 g/cm3. The density of states at the Fermi level is 3.1 states/eV/cell. For the total moment, the calculation gives 0.00 Bohr magnetons per cell. The calculation puts the formation energy at -1.410 eV per formula unit. The space-group type is P4mm (99).


[15]
Material: BaTlGa2F8
Method: DFT, GGA-PBE
State: optimized geometry

```
BaTlGa2F8
1.0
-4.509 -2.283 -1.966
4.756 -0.823 -2.473
1.485 -7.559 5.373
Ba Tl Ga F
1 1 2 8
Direct
0.000 0.000 0.000 Ba
0.000 0.000 0.500 Tl
0.667 0.333 0.227 Ga
0.333 0.667 0.773 Ga
0.333 0.667 0.973 F
0.312 0.291 0.245 F
0.709 0.021 0.245 F
0.667 0.333 0.027 F
0.291 0.979 0.755 F
0.688 0.709 0.755 F
0.021 0.312 0.755 F
0.979 0.688 0.245 F
```

Calculated values
The calculation puts the mass density at 4.39 g/cm3. Its energy relative to the elements, uncorrected is -2.542 eV per atom. The density of states at the Fermi level is 3.2 states/eV/cell. For the total moment, the calculation gives 0.80 Bohr magnetons per cell. The space-group type is P-3 (147).


[16]
Material: Tl4Pb2Cl9
Method: DFT, GGA-PBE
State: optimized geometry

```
Tl4Pb2Cl9
1.0
-4.441 2.198 6.028
1.871 -2.245 7.239
11.676 17.208 2.301
Tl Pb Cl
8 4 18
Direct
0.332 0.334 0.985 Tl
0.335 0.333 0.486 Tl
0.668 0.666 0.015 Tl
0.332 0.334 0.183 Tl
0.665 0.667 0.514 Tl
0.666 0.667 0.319 Tl
0.334 0.333 0.681 Tl
0.668 0.666 0.817 Tl
0.998 0.003 0.348 Pb
0.000 0.998 0.152 Pb
0.002 0.997 0.652 Pb
0.000 0.002 0.848 Pb
0.002 0.273 0.750 Cl
0.274 0.726 0.750 Cl
0.727 0.000 0.750 Cl
0.998 0.727 0.250 Cl
0.726 0.274 0.250 Cl
0.273 0.000 0.250 Cl
0.687 0.986 0.414 Cl
0.984 0.329 0.415 Cl
0.326 0.690 0.413 Cl
0.671 0.018 0.086 Cl
0.311 0.670 0.086 Cl
0.018 0.308 0.086 Cl
0.313 0.014 0.586 Cl
0.016 0.671 0.585 Cl
0.674 0.310 0.587 Cl
0.329 0.982 0.914 Cl
0.689 0.330 0.914 Cl
0.982 0.692 0.914 Cl
```

Calculated values
The calculation puts the mass density at 4.66 g/cm3. Its energy relative to the elements, uncorrected is -1.065 eV per atom. The density of states at the Fermi level is 17.0 states/eV/cell. For the total moment, the calculation gives 0.00 Bohr magnetons per cell. The space-group type is P-1 (2).


[17]
Material: LiTlNiH6
Method: DFT, GGA-PBE
State: optimized geometry

```
LiTlNiH6
1.0
4.757 0.000 0.000
2.379 4.119 0.000
0.000 0.000 5.198
Li Tl Ni H
1 1 1 6
Direct
0.667 0.667 0.500 Li
0.000 0.000 0.000 Tl
0.333 0.333 0.500 Ni
0.075 0.337 0.328 H
0.337 0.075 0.672 H
0.588 0.337 0.672 H
0.075 0.588 0.672 H
0.337 0.588 0.328 H
0.588 0.075 0.328 H
```

Calculated values
The calculation puts the mass density at 4.50 g/cm3. For the total moment, the calculation gives 0.00 Bohr magnetons per cell. The total DFT energy (no corrections) is -3.346 eV per atom. The space-group type is P312 (149).


[18]
Material: CaZn2Pd
Method: DFT, GGA-PBE
State: optimized geometry

```
CaZn2Pd
1.0
5.520 0.000 0.000
0.000 7.103 0.000
0.000 0.000 15.880
Ca Zn Pd
8 16 8
Direct
0.460 0.250 0.143 Ca
0.960 0.750 0.357 Ca
0.540 0.750 0.857 Ca
0.040 0.250 0.643 Ca
0.719 0.250 0.396 Ca
0.219 0.750 0.104 Ca
0.281 0.750 0.604 Ca
0.781 0.250 0.896 Ca
0.936 0.059 0.212 Zn
0.436 0.941 0.288 Zn
0.064 0.559 0.788 Zn
0.564 0.441 0.712 Zn
0.064 0.941 0.788 Zn
0.564 0.059 0.712 Zn
0.936 0.441 0.212 Zn
0.436 0.559 0.288 Zn
0.729 0.561 0.037 Zn
0.229 0.439 0.463 Zn
0.271 0.061 0.963 Zn
0.771 0.939 0.537 Zn
0.271 0.439 0.963 Zn
0.771 0.561 0.537 Zn
0.729 0.939 0.037 Zn
0.229 0.061 0.463 Zn
0.204 0.250 0.317 Pd
0.704 0.750 0.183 Pd
0.796 0.750 0.683 Pd
0.296 0.250 0.817 Pd
0.979 0.250 0.070 Pd
0.479 0.750 0.430 Pd
0.021 0.750 0.930 Pd
0.521 0.250 0.570 Pd
```

Calculated values
The calculation puts the mass density at 5.92 g/cm3. The density of states at the Fermi level is 16.1 states/eV/cell. For the total moment, the calculation gives 0.00 Bohr magnetons per cell. The calculation puts the formation energy at -2.024 eV per formula unit. The space-group type is Pnma (62).


[19]
Material: SrCd2
Method: DFT, GGA-PBE
State: optimized geometry

```
SrCd2
1.0
-6.278 3.405 1.820
-6.855 -1.101 2.475
-1.080 1.067 6.397
Cd Sr
4 2
Direct
0.972 0.972 0.059 Cd
0.354 0.354 0.423 Cd
0.590 0.590 0.188 Cd
0.972 0.972 0.552 Cd
0.651 0.651 0.626 Sr
0.294 0.294 0.985 Sr
```

Calculated values
The calculation puts the mass density at 5.59 g/cm3. The density of states at the Fermi level is 4.7 states/eV/cell. For the total moment, the calculation gives 0.00 Bohr magnetons per cell. The calculation puts the formation energy at -0.782 eV per formula unit. The space-group type is C2/m (12).


[20]
Material: TbPa2TaN6
Method: DFT, GGA-PBE
State: optimized geometry

```
TbPa2TaN6
1.0
5.802 0.000 0.000
2.901 5.025 0.000
2.901 1.675 4.955
Tb Pa Ta N
1 2 1 6
Direct
0.797 0.797 0.610 Tb
0.523 0.523 0.430 Pa
0.022 0.022 0.935 Pa
0.309 0.309 0.072 Ta
0.595 0.211 0.237 N
0.211 0.957 0.237 N
0.957 0.595 0.237 N
0.400 0.700 0.752 N
0.700 0.148 0.752 N
0.148 0.400 0.752 N
```

Calculated values
The calculation puts the mass density at 10.18 g/cm3. Its energy relative to the elements, uncorrected is -1.479 eV per atom. The density of states at the Fermi level is 0.0 states/eV/cell. For the total moment, the calculation gives 0.00 Bohr magnetons per cell. The space-group type is R3 (146).